(1)
# Li2MgTa GGA-PBE optimized geometry
# - calculated formation energy (eV/atom) = 0.706
# - calculated volume (Å³ per cell) = 74.3
# - energy (eV per atom) = -3.61
data_Li2MgTa
_cell_length_a 5.234
_cell_length_b 5.234
_cell_length_c 5.234
_cell_angle_alpha 133.42
_cell_angle_beta 133.42
_cell_angle_gamma 67.99
_symmetry_space_group_name_H-M 'P 1'
_symmetry_Int_Tables_number 1
loop_
_symmetry_equiv_pos_as_xyz
'x,y,z'
loop_
_atom_site_label
_atom_site_fract_x
_atom_site_fract_y
_atom_site_fract_z
Li1 0.000 0.000 0.000
Li2 0.500 0.500 0.000
Mg1 0.250 0.750 0.500
Ta1 0.750 0.250 0.500

(2)
# SrYAl GGA-PBE optimized geometry
# - calculated formation energy (eV/atom) = -0.075
# - calculated volume (Å³ per cell) = 199.9
# - energy (eV per atom) = -4.04
# - distance to the lowest polymorph of the same formula (meV per atom) = 136.5
data_SrYAl
_cell_length_a 7.030
_cell_length_b 3.866
_cell_length_c 7.605
_cell_angle_alpha 75.27
_cell_angle_beta 90.00
_cell_angle_gamma 90.00
_symmetry_space_group_name_H-M 'P 1'
_symmetry_Int_Tables_number 1
loop_
_symmetry_equiv_pos_as_xyz
'x,y,z'
loop_
_atom_site_label
_atom_site_fract_x
_atom_site_fract_y
_atom_site_fract_z
Y1 0.161 0.933 0.368
Y2 0.661 0.932 0.369
Sr1 0.911 0.233 0.768
Sr2 0.411 0.632 0.969
Al1 0.910 0.546 0.142
Al2 0.410 0.319 0.596